Computed, not measured: a relaxed structure of FeHRh2W at the PBE level of DFT.

Calculated values
The calculation puts the polymorph energy (0 for the lowest one) at 0 meV per atom. The value obtained for the energy is -7.937 eV per atom.

Cell: 3.829 3.829 3.856 Å, 90.00 90.00 90.00°
Positions (direct):
W1 0.500 0.500 0.500
Rh1 0.500 0.000 0.000
H1 0.000 0.000 0.000
Fe1 0.000 0.000 0.500
Rh2 0.000 0.500 0.000